# 1
First-principles (GGA-PBE) data for an optimized crystal structure of Te2PdBrN, as listed in the Alexandria database.

Values from the calculation:
The value obtained for the final energy is -3.585 eV/atom. The value obtained for the formation energy without anion corrections is 68.5 kJ/mol of atoms. Its space group is P4/mmm (123).

Cell lengths 5.7154, 5.7154, 3.6757 Å; angles 90.00, 90.00, 90.00 degrees
With the nearest neighbours (Å) after each atom.
Element x y z (fractional)
Te1 0.0000 0.5000 0.0000  2 Pd 2.86
Te2 0.5000 0.0000 0.0000  2 Pd 2.86
Pd1 0.0000 0.0000 0.0000  2 N 1.84
Br1 0.5000 0.5000 0.5000  8 Te 3.40, 2 Br 3.68
N1 0.0000 0.0000 0.5000  2 Pd 1.84



# 2
First-principles (GGA-PBE) data for an optimized crystal structure of Hf2ZnIn, as listed in the Alexandria database.

Values from the calculation:
The value obtained for the final energy is -6.133 eV/atom. Its formation energy is -0.61 eV/f.u. Its space group is P4/mmm (123).

Cell lengths 3.0380, 3.0380, 8.6131 Å; angles 90.00, 90.00, 90.00 degrees
With the nearest neighbours (Å) after each atom.
Element x y z (fractional)
Hf1 0.0000 0.0000 0.2259  4 Zn 2.90, 4 Hf 3.04, 4 In 3.19
Hf2 0.0000 0.0000 0.7741  4 Zn 2.90, 4 Hf 3.04, 4 In 3.19
Zn1 0.5000 0.5000 0.0000  8 Hf 2.90, 4 Zn 3.04
In1 0.5000 0.5000 0.5000  4 In 3.04, 8 Hf 3.19



# 3
First-principles (GGA-PBE) data for an optimized crystal structure of ScRu2, as listed in the Alexandria database.

Values from the calculation:
The value obtained for the final energy is -8.034 eV/atom. Its formation energy is 0.78 eV/f.u. Its space group is P-62m (189).

Cell lengths 6.3857, 6.3857, 4.2025 Å; angles 90.00, 90.00, 120.00 degrees
With the nearest neighbours (Å) after each atom.
Element x y z (fractional)
Sc1 0.0000 0.0000 0.0000  6 Ru 2.59
Sc2 0.3333 0.6667 0.5000  3 Ru 2.49
Sc3 0.6667 0.3333 0.5000  3 Ru 2.49
Ru1 0.0000 0.2384 0.5000  4 Sc 2.49-2.59, 2 Ru 2.64
Ru2 0.0000 0.5382 0.0000  5 Sc 2.81-2.95, 2 Ru 2.84
Ru3 0.2384 0.0000 0.5000  4 Sc 2.49-2.59, 2 Ru 2.64
Ru4 0.4618 0.4618 0.0000  5 Sc 2.81-2.95, 2 Ru 2.84
Ru5 0.5382 0.0000 0.0000  5 Sc 2.81-2.95, 2 Ru 2.84
Ru6 0.7616 0.7616 0.5000  4 Sc 2.49-2.59, 2 Ru 2.64



# 4
First-principles (GGA-PBE) data for an optimized crystal structure of GeNF, as listed in the Alexandria database.

Values from the calculation:
The value obtained for the final energy is -5.879 eV/atom. The value obtained for the formation energy without anion corrections is -90.8 kJ/mol of atoms. Its space group is P-1 (2).

Cell lengths 3.0914, 3.0917, 10.7201 Å; angles 89.93, 81.84, 60.00 degrees
With the nearest neighbours (Å) after each atom.
Element x y z (fractional)
Ge1 0.0357 0.2303 0.2058  1 F 1.73, 3 N 1.87
Ge2 0.9643 0.7697 0.7942  1 F 1.73, 3 N 1.87
N1 0.2632 0.1200 0.8468  3 Ge 1.87
N2 0.7368 0.8800 0.1532  3 Ge 1.87
F1 0.0716 0.7165 0.6301  1 Ge 1.73
F2 0.9284 0.2835 0.3699  1 Ge 1.73



# 5
First-principles (GGA-PBE) data for an optimized crystal structure of Hf2TlW, as listed in the Alexandria database.

Values from the calculation:
The value obtained for the final energy is -8.801 eV/atom. Its formation energy is 0.02 eV/f.u. Its space group is P4/mmm (123).

Cell lengths 3.4459, 3.4459, 6.9314 Å; angles 90.00, 90.00, 90.00 degrees
With the nearest neighbours (Å) after each atom.
Element x y z (fractional)
Hf1 0.0000 0.0000 0.2212  4 W 2.88, 1 Hf 3.07, 4 Tl 3.11
Hf2 0.0000 0.0000 0.7788  4 W 2.88, 1 Hf 3.07, 4 Tl 3.11
Tl1 0.5000 0.5000 0.5000  8 Hf 3.11, 4 Tl 3.45, 2 W 3.47
W1 0.5000 0.5000 0.0000  8 Hf 2.88



# 6
First-principles (GGA-PBE) data for an optimized crystal structure of NaPdI2, as listed in the Alexandria database.

Values from the calculation:
The value obtained for the final energy is -2.893 eV/atom. The value obtained for the formation energy without anion corrections is -47.2 kJ/mol of atoms. Its space group is I-42d (122).

Cell lengths 6.6139, 6.6139, 13.8321 Å; angles 90.00, 90.00, 90.00 degrees
With the nearest neighbours (Å) after each atom.
Element x y z (fractional)
Na1 0.0000 0.0000 0.0000  4 I 3.11
Na2 0.0000 0.5000 0.2500  4 I 3.11
Na3 0.5000 0.0000 0.7500  4 I 3.11
Na4 0.5000 0.5000 0.5000  4 I 3.11
Pd1 0.0000 0.0000 0.5000  4 I 2.73
Pd2 0.0000 0.5000 0.7500  4 I 2.73
Pd3 0.5000 0.0000 0.2500  4 I 2.73
Pd4 0.5000 0.5000 0.0000  4 I 2.73
I1 0.1992 0.2500 0.6250  2 Pd 2.73
I2 0.2500 0.6992 0.8750  2 Pd 2.73
I3 0.2500 0.8008 0.3750  2 Pd 2.73
I4 0.3008 0.2500 0.1250  2 Pd 2.73
I5 0.6992 0.7500 0.1250  2 Pd 2.73
I6 0.7500 0.1992 0.3750  2 Pd 2.73
I7 0.7500 0.3008 0.8750  2 Pd 2.73
I8 0.8008 0.7500 0.6250  2 Pd 2.73



# 7
First-principles (GGA-PBE) data for an optimized crystal structure of PmNd5Ga6, as listed in the Alexandria database.

Values from the calculation:
The value obtained for the final energy is -4.453 eV/atom. Its formation energy is -6.68 eV/f.u. Its space group is P-1 (2).

Cell lengths 5.2147, 7.3865, 9.0317 Å; angles 65.92, 73.42, 89.97 degrees
With the nearest neighbours (Å) after each atom.
Element x y z (fractional)
Pm1 0.0000 0.0000 0.0000  8 Ga 3.18-3.19
Nd1 0.0000 0.5000 0.0000  8 Ga 3.19-3.21
Nd2 0.3325 0.8325 0.3350  8 Ga 3.19-3.20
Nd3 0.3337 0.3337 0.3326  8 Ga 3.20-3.21
Nd4 0.6663 0.6663 0.6674  8 Ga 3.20-3.21
Nd5 0.6675 0.1675 0.6650  8 Ga 3.19-3.20
Ga1 0.1659 0.4147 0.6681  1 Pm 3.19, 7 Nd 3.19-3.20
Ga2 0.1660 0.9172 0.6680  1 Pm 3.18, 7 Nd 3.19-3.21
Ga3 0.5001 0.2476 0.0000  2 Pm 3.18-3.19, 6 Nd 3.20-3.21
Ga4 0.4999 0.7524 0.0000  2 Pm 3.18-3.19, 6 Nd 3.20-3.21
Ga5 0.8340 0.0828 0.3320  1 Pm 3.18, 7 Nd 3.19-3.21
Ga6 0.8341 0.5853 0.3319  1 Pm 3.19, 7 Nd 3.19-3.20



# 8
First-principles (GGA-PBE) data for an optimized crystal structure of CaNd2SmHg4, as listed in the Alexandria database.

Values from the calculation:
The value obtained for the final energy is -2.691 eV/atom. Its formation energy is -4.07 eV/f.u. Its space group is R-3m (166).

Cell lengths 9.3320, 9.3320, 9.3320 Å; angles 33.63, 33.63, 33.63 degrees
With the nearest neighbours (Å) after each atom.
Element x y z (fractional)
Ca1 0.0000 0.0000 0.0000  8 Hg 3.32-3.33
Nd1 0.2523 0.2523 0.2523  8 Hg 3.27-3.34
Nd2 0.7477 0.7477 0.7477  8 Hg 3.27-3.34
Sm1 0.5000 0.5000 0.5000  8 Hg 3.26-3.30
Hg1 0.1262 0.1262 0.1262  3 Sm 3.30, 4 Nd 3.33-3.34, 1 Ca 3.33
Hg2 0.3763 0.3763 0.3763  1 Sm 3.26, 4 Nd 3.27, 3 Ca 3.32
Hg3 0.6237 0.6237 0.6237  1 Sm 3.26, 4 Nd 3.27, 3 Ca 3.32
Hg4 0.8738 0.8738 0.8738  3 Sm 3.30, 4 Nd 3.33-3.34, 1 Ca 3.33



# 9
First-principles (GGA-PBE) data for an optimized crystal structure of BaBeAl, as listed in the Alexandria database.

Values from the calculation:
The value obtained for the final energy is -3.062 eV/atom. Its formation energy is 0.21 eV/f.u. Its space group is Cm (8).

Cell lengths 11.7951, 4.0887, 8.0911 Å; angles 90.00, 127.07, 90.00 degrees
With the nearest neighbours (Å) after each atom.
Element x y z (fractional)
Ba1 0.0000 0.0000 0.0000  4 Be 3.29-3.48, 3 Al 3.41-3.44
Ba2 0.1326 0.0000 0.6835  3 Be 3.29-3.39, 5 Al 3.46-3.61
Ba3 0.5000 0.5000 0.0000  4 Be 3.29-3.48, 3 Al 3.41-3.44
Ba4 0.6326 0.5000 0.6835  3 Be 3.29-3.39, 5 Al 3.46-3.61
Be1 0.1817 0.5000 0.3980  1 Be 2.16
Be2 0.2986 0.5000 0.2703  1 Be 2.16
Be3 0.6817 0.0000 0.3980  1 Be 2.16
Be4 0.7986 0.0000 0.2703  1 Be 2.16
Al1 0.3217 0.0000 0.4772  4 Be 2.46-2.55, 1 Al 2.63
Al2 0.4177 0.0000 0.2558  3 Be 2.52-2.59, 1 Al 2.63
Al3 0.8217 0.5000 0.4772  4 Be 2.46-2.55, 1 Al 2.63
Al4 0.9177 0.5000 0.2558  3 Be 2.52-2.59, 1 Al 2.63



# 10
First-principles (GGA-PBE) data for an optimized crystal structure of KY2NbO, as listed in the Alexandria database.

Values from the calculation:
The value obtained for the final energy is -3.790 eV/atom. The value obtained for the formation energy without anion corrections is 194.9 kJ/mol of atoms. Its space group is P4/mmm (123).

Cell lengths 5.4485, 5.4485, 4.4069 Å; angles 90.00, 90.00, 90.00 degrees
With the nearest neighbours (Å) after each atom.
Element x y z (fractional)
K1 0.0000 0.0000 0.0000  2 Nb 2.20
Y1 0.0000 0.5000 0.0000  2 K 2.72
Y2 0.5000 0.0000 0.0000  2 K 2.72
Nb1 0.0000 0.0000 0.5000  2 K 2.20
O1 0.5000 0.5000 0.5000  8 Y 3.50, 4 Nb 3.85